# 1
VASP calculation (PBE) on a relaxed CaFeH3 crystal.

Properties
- Total magnetic moment: 8.00 μB per cell
- Energy: -85.90 eV/cell
- Space group: C2/c, No. 15
- DOS at the Fermi energy: 3.764 states/eV per cell

Cell: 7.971 6.163 6.163 Å, 74.84 115.44 64.56°
Site moments in Bohr magnetons follow the coordinates.
Positions (direct):
H: 0.359 0.434 0.367  -0.01
H: 0.018 0.654 0.345  -0.01
H: 0.482 0.845 0.154  -0.01
H: 0.641 0.566 0.633  -0.01
H: 0.518 0.155 0.846  -0.01
H: 0.141 0.867 0.934  -0.01
H: 0.362 0.735 0.789  0.00
H: 0.859 0.133 0.066  -0.01
H: 0.982 0.346 0.655  -0.01
H: 0.638 0.265 0.211  0.00
H: 0.862 0.711 0.765  0.00
H: 0.138 0.289 0.235  0.00
Ca: 0.250 0.446 0.946  -0.02
Ca: 0.750 0.153 0.653  -0.03
Ca: 0.750 0.554 0.054  -0.02
Ca: 0.250 0.847 0.347  -0.03
Fe: 0.219 0.025 0.778  2.05
Fe: 0.719 0.722 0.475  2.09
Fe: 0.781 0.975 0.222  2.05
Fe: 0.281 0.278 0.525  2.09

=====

# 2
VASP calculation (PBE) on a relaxed CaFeH3 crystal.

Properties
- Total magnetic moment: 3.40 μB per cell
- Energy: -43.66 eV/cell
- Space group: R-3m, No. 166
- DOS at the Fermi energy: 6.642 states/eV per cell

Cell: 4.683 5.610 4.683 Å, 90.00 120.00 65.33°
Site moments in Bohr magnetons follow the coordinates.
Positions (direct):
Fe: 0.256 0.132 0.078  1.77
Fe: 0.954 0.086 0.427  1.77
H: 0.256 0.886 0.325  -0.01
H: 0.954 0.333 0.180  -0.01
H: 0.750 0.886 0.325  -0.01
H: 0.461 0.333 0.180  -0.01
H: 0.256 0.886 0.831  -0.01
H: 0.954 0.333 0.674  -0.01
Ca: 0.817 0.791 0.859  -0.03
Ca: 0.393 0.428 0.647  -0.03

=====

# 3
VASP calculation (PBE) on a relaxed CaFeH3 crystal.

Properties
- Total magnetic moment: 3.88 μB per cell
- Energy: -83.09 eV/cell
- Space group: Fd-3m, No. 227
- DOS at the Fermi energy: 18.077 states/eV per cell

Cell: 6.397 6.397 6.397 Å, 60.00 60.00 60.00°
Site moments in Bohr magnetons follow the coordinates.
Positions (direct):
Fe: 0.625 0.625 0.125  1.19
Fe: 0.125 0.625 0.625  0.86
Fe: 0.625 0.125 0.625  1.17
Fe: 0.625 0.625 0.625  1.15
Ca: 0.125 0.125 0.625  -0.02
Ca: 0.625 0.125 0.125  -0.03
Ca: 0.125 0.625 0.125  -0.03
Ca: 0.125 0.125 0.125  -0.02
H: 0.942 0.558 0.558  -0.01
H: 0.558 0.942 0.942  -0.01
H: 0.692 0.308 0.308  -0.01
H: 0.558 0.558 0.942  -0.01
H: 0.558 0.942 0.558  -0.01
H: 0.308 0.692 0.308  -0.01
H: 0.692 0.692 0.308  -0.01
H: 0.308 0.308 0.692  -0.01
H: 0.942 0.558 0.942  -0.01
H: 0.692 0.308 0.692  -0.01
H: 0.308 0.692 0.692  -0.01
H: 0.942 0.942 0.558  -0.01

=====

# 4
VASP calculation (PBE) on a relaxed CaFeH3 crystal.

Properties
- Total magnetic moment: 4.90 μB per cell
- Energy: -43.39 eV/cell
- Space group: C2/m, No. 12
- DOS at the Fermi energy: 0.982 states/eV per cell

Cell: 15.050 6.236 6.236 Å, 146.96 155.28 24.72°
Site moments in Bohr magnetons follow the coordinates.
Positions (direct):
H: 0.877 0.453 0.547  -0.01
H: 0.123 0.547 0.453  -0.01
H: 0.433 0.757 0.243  0.00
H: 0.092 0.958 0.042  -0.01
H: 0.567 0.243 0.757  0.00
H: 0.908 0.042 0.958  -0.01
Ca: 0.683 0.919 0.081  0.01
Ca: 0.317 0.081 0.919  0.01
Fe: 0.135 0.042 0.958  2.42
Fe: 0.865 0.958 0.042  2.42

=====

# 5
VASP calculation (PBE) on a relaxed CaFeH3 crystal.

Properties
- Total magnetic moment: 3.58 μB per cell
- Energy: -40.21 eV/cell
- Space group: I-4m2, No. 119
- DOS at the Fermi energy: 5.262 states/eV per cell

Cell: 3.487 3.487 9.149 Å, 79.02 79.02 90.00°
Site moments in Bohr magnetons follow the coordinates.
Positions (direct):
H: 0.662 0.926 0.147  -0.02
H: 0.074 0.810 0.853  -0.02
H: 0.249 0.249 0.502  -0.01
H: 0.190 0.926 0.147  -0.02
H: 0.751 0.751 0.498  -0.01
H: 0.074 0.338 0.853  -0.02
Ca: 0.856 0.356 0.289  -0.05
Ca: 0.644 0.144 0.711  -0.05
Fe: 0.000 0.000 0.000  2.06
Fe: 0.250 0.750 0.500  1.91

=====

# 6
VASP calculation (PBE) on a relaxed CaFeH3 crystal.

Properties
- Total magnetic moment: 4.62 μB per cell
- Energy: -85.55 eV/cell
- Space group: Cmce, No. 64
- DOS at the Fermi energy: 10.946 states/eV per cell

Cell: 15.318 4.837 6.174 Å, 90.00 157.29 90.00°
Site moments in Bohr magnetons follow the coordinates.
Positions (direct):
Fe: 0.612 0.223 0.112  1.27
Fe: 0.112 0.277 0.612  1.27
Fe: 0.388 0.777 0.888  1.27
Fe: 0.888 0.723 0.388  1.27
Ca: 0.114 0.250 0.114  -0.03
Ca: 0.386 0.750 0.386  -0.03
Ca: 0.614 0.250 0.614  -0.03
Ca: 0.886 0.750 0.886  -0.03
H: 0.451 0.130 0.951  -0.01
H: 0.049 0.630 0.549  -0.01
H: 0.259 0.508 0.760  -0.01
H: 0.137 0.750 0.137  -0.01
H: 0.863 0.250 0.863  -0.01
H: 0.951 0.370 0.451  -0.01
H: 0.637 0.750 0.637  -0.01
H: 0.363 0.250 0.363  -0.01
H: 0.241 0.008 0.740  -0.01
H: 0.549 0.870 0.049  -0.01
H: 0.741 0.492 0.240  -0.01
H: 0.759 0.992 0.260  -0.01

=====

# 7
VASP calculation (PBE) on a relaxed CaFeH3 crystal.

Properties
- Total magnetic moment: 2.00 μB per cell
- Energy: -44.43 eV/cell
- Space group: C2/m, No. 12
- DOS at the Fermi energy: 0.907 states/eV per cell

Cell: 6.792 4.867 4.738 Å, 90.10 134.18 110.95°
Site moments in Bohr magnetons follow the coordinates.
Positions (direct):
Fe: 0.781 0.744 0.534  1.07
Fe: 0.781 0.744 0.034  1.08
H: 0.632 0.446 0.134  -0.01
H: 0.079 0.893 0.582  -0.01
H: 0.930 0.595 0.933  -0.01
H: 0.930 0.042 0.934  -0.01
H: 0.483 0.595 0.486  -0.01
H: 0.632 0.893 0.136  -0.01
Ca: 0.448 0.077 0.451  -0.02
Ca: 0.114 0.411 0.618  -0.02

=====

# 8
VASP calculation (PBE) on a relaxed CaFeH3 crystal.

Properties
- Total magnetic moment: 0.00 μB per cell
- Energy: -19.79 eV/cell
- Space group: P4mm, No. 99
- DOS at the Fermi energy: 2.368 states/eV per cell

Cell: 2.955 2.955 4.962 Å, 90.00 90.00 90.00°
Positions (direct):
H: 0.000 0.500 0.441
H: 0.000 0.000 0.671
H: 0.500 0.000 0.441
Fe: 0.500 0.500 0.603
Ca: 0.000 0.000 0.108